A relaxed structure of KMg2NiAs2, computed with PBE.

Values from the calculation:
The value obtained for the total energy is -3.414 eV per atom.

Cell: 4.127 4.127 8.445 Å, 90.00 90.00 90.00°
Fractional coordinates of all 6 atoms:
K 0.000 0.000 0.000
Mg 0.000 0.500 0.606
Mg 0.500 0.000 0.606
Ni 0.500 0.500 0.398
As 0.000 0.000 0.387
As 0.500 0.500 0.797


A relaxed structure of KMgNiAs, computed with PBE.

Values from the calculation:
The value obtained for the total energy is -2.911 eV per atom.

Cell: 4.911 4.911 4.911 Å, 60.00 60.00 60.00°
Fractional coordinates of all 4 atoms:
K 0.000 0.000 0.000
Mg 0.500 0.500 0.500
Ni 0.750 0.750 0.750
As 0.250 0.250 0.250


A relaxed structure of KMgNiAs, computed with PBE.

Values from the calculation:
The value obtained for the total energy is -2.949 eV per atom.

Cell: 4.740 4.740 4.740 Å, 60.00 60.00 60.00°
Fractional coordinates of all 4 atoms:
K 0.000 0.000 0.000
Mg 0.250 0.250 0.250
Ni 0.750 0.750 0.750
As 0.500 0.500 0.500


A relaxed structure of KMgNiAs, computed with PBE.

Values from the calculation:
The value obtained for the total energy is -2.972 eV per atom.

Cell: 4.761 4.761 4.761 Å, 60.00 60.00 60.00°
Fractional coordinates of all 4 atoms:
K 0.000 0.000 0.000
Mg 0.250 0.250 0.250
Ni 0.500 0.500 0.500
As 0.750 0.750 0.750


A relaxed structure of KMgAsPd, computed with PBE.

Values from the calculation:
The value obtained for the total energy is -3.163 eV per atom.

Cell: 4.972 4.972 4.972 Å, 60.00 60.00 60.00°
Fractional coordinates of all 4 atoms:
K 0.000 0.000 0.000
Mg 0.500 0.500 0.500
As 0.250 0.250 0.250
Pd 0.750 0.750 0.750


A relaxed structure of KMgAsPd, computed with PBE.

Values from the calculation:
The value obtained for the total energy is -3.204 eV per atom.

Cell: 4.841 4.841 4.841 Å, 60.00 60.00 60.00°
Fractional coordinates of all 4 atoms:
K 0.000 0.000 0.000
Mg 0.250 0.250 0.250
As 0.750 0.750 0.750
Pd 0.500 0.500 0.500


A relaxed structure of KMgAsPd, computed with PBE.

Values from the calculation:
The value obtained for the total energy is -3.159 eV per atom.

Cell: 4.877 4.877 4.877 Å, 60.00 60.00 60.00°
Fractional coordinates of all 4 atoms:
K 0.000 0.000 0.000
Mg 0.250 0.250 0.250
As 0.500 0.500 0.500
Pd 0.750 0.750 0.750


A relaxed structure of KMgAsPt, computed with PBE.

Values from the calculation:
The value obtained for the total energy is -3.442 eV per atom.

Cell: 4.804 4.804 4.804 Å, 60.00 60.00 60.00°
Fractional coordinates of all 4 atoms:
K 0.000 0.000 0.000
Mg 0.250 0.250 0.250
As 0.750 0.750 0.750
Pt 0.500 0.500 0.500


A relaxed structure of KMgAsPt, computed with PBE.

Values from the calculation:
The value obtained for the total energy is -3.294 eV per atom.

Cell: 4.936 4.936 4.936 Å, 60.00 60.00 60.00°
Fractional coordinates of all 4 atoms:
K 0.000 0.000 0.000
Mg 0.500 0.500 0.500
As 0.250 0.250 0.250
Pt 0.750 0.750 0.750


A relaxed structure of KMgAsPt, computed with PBE.

Values from the calculation:
The value obtained for the total energy is -3.262 eV per atom.

Cell: 4.874 4.874 4.874 Å, 60.00 60.00 60.00°
Fractional coordinates of all 4 atoms:
K 0.000 0.000 0.000
Mg 0.250 0.250 0.250
As 0.500 0.500 0.500
Pt 0.750 0.750 0.750


A relaxed structure of K2Mo3As3, computed with PBE.

Values from the calculation:
The value obtained for the total energy is -6.441 eV per atom.

Cell: 10.242 10.242 4.468 Å, 90.00 90.00 120.00°
Fractional coordinates of all 16 atoms:
K 0.000 0.000 0.000
K 0.204 0.408 0.500
K 0.204 0.796 0.500
K 0.592 0.796 0.500
Mo 0.482 0.241 0.000
Mo 0.577 0.155 0.500
Mo 0.577 0.423 0.500
Mo 0.759 0.241 0.000
Mo 0.759 0.518 0.000
Mo 0.845 0.423 0.500
As 0.011 0.506 0.000
As 0.321 0.160 0.500
As 0.494 0.506 0.000
As 0.494 0.989 0.000
As 0.840 0.160 0.500
As 0.840 0.679 0.500


A relaxed structure of K2NaMoAs2, computed with PBE.

Values from the calculation:
The value obtained for the total energy is -4.251 eV per atom.

Cell: 8.953 8.953 8.953 Å, 136.09 61.75 138.84°
Fractional coordinates of all 12 atoms:
K 0.178 0.234 0.412
K 0.322 0.734 0.056
K 0.678 0.266 0.944
K 0.822 0.766 0.588
Na 0.250 0.250 0.000
Na 0.750 0.750 0.000
Mo 0.250 0.750 0.500
Mo 0.750 0.250 0.500
As 0.095 0.698 0.793
As 0.405 0.198 0.603
As 0.595 0.802 0.397
As 0.905 0.302 0.207


A relaxed structure of K3NaAs2Pd2, computed with PBE.

Values from the calculation:
The value obtained for the total energy is -3.432 eV per atom.

Cell: 6.142 5.802 6.299 Å, 90.00 105.54 90.00°
Fractional coordinates of all 8 atoms:
K 0.000 0.000 0.000
K 0.062 0.500 0.351
K 0.696 0.500 0.683
Na 0.369 0.000 0.691
As 0.260 0.500 0.905
As 0.748 0.000 0.441
Pd 0.540 0.248 0.142
Pd 0.540 0.752 0.142


A relaxed structure of KNa3As2Pd2, computed with PBE.

Values from the calculation:
The value obtained for the total energy is -3.481 eV per atom.

Cell: 5.694 5.627 5.906 Å, 90.00 104.06 90.00°
Fractional coordinates of all 8 atoms:
K 0.000 0.000 0.000
Na 0.303 0.500 0.323
Na 0.640 0.000 0.355
Na 0.939 0.500 0.661
As 0.200 0.000 0.548
As 0.737 0.500 0.128
Pd 0.473 0.257 0.823
Pd 0.473 0.743 0.823


A relaxed structure of KNaAsPt, computed with PBE.

Values from the calculation:
The value obtained for the total energy is -3.709 eV per atom.

Cell: 5.740 5.975 5.975 Å, 105.46 90.00 90.00°
Fractional coordinates of all 8 atoms:
K 0.000 0.177 0.823
K 0.000 0.823 0.177
Na 0.500 0.143 0.494
Na 0.500 0.494 0.143
As 0.000 0.383 0.383
As 0.500 0.929 0.929
Pt 0.260 0.647 0.647
Pt 0.740 0.647 0.647


A relaxed structure of KNa3As2Pt2, computed with PBE.

Values from the calculation:
The value obtained for the total energy is -3.750 eV per atom.

Cell: 5.761 5.648 5.843 Å, 90.00 105.13 90.00°
Fractional coordinates of all 8 atoms:
K 0.000 0.000 0.000
Na 0.320 0.500 0.326
Na 0.637 0.000 0.355
Na 0.954 0.500 0.674
As 0.206 0.000 0.551
As 0.753 0.500 0.132
Pt 0.473 0.257 0.833
Pt 0.473 0.743 0.833


A relaxed structure of K3NaAs2Pt2, computed with PBE.

Values from the calculation:
The value obtained for the total energy is -3.705 eV per atom.

Cell: 6.170 5.775 6.318 Å, 90.00 106.00 90.00°
Fractional coordinates of all 8 atoms:
K 0.000 0.000 0.000
K 0.054 0.500 0.345
K 0.690 0.500 0.681
Na 0.376 0.000 0.697
As 0.255 0.500 0.903
As 0.743 0.000 0.436
Pt 0.539 0.249 0.137
Pt 0.539 0.751 0.137


A relaxed structure of KNaAsPt, computed with PBE.

Values from the calculation:
The value obtained for the total energy is -3.726 eV per atom.

Cell: 5.924 5.669 6.139 Å, 90.00 104.78 90.00°
Fractional coordinates of all 8 atoms:
K 0.033 0.250 0.166
K 0.967 0.750 0.834
Na 0.344 0.750 0.508
Na 0.656 0.250 0.492
As 0.251 0.250 0.711
As 0.749 0.750 0.289
Pt 0.500 0.000 0.000
Pt 0.500 0.500 0.000


A relaxed structure of KNaAsPt, computed with PBE.

Values from the calculation:
The value obtained for the total energy is -3.708 eV per atom.

Cell: 5.706 5.990 5.990 Å, 75.19 90.00 90.00°
Fractional coordinates of all 8 atoms:
K 0.250 0.157 0.843
K 0.750 0.843 0.157
Na 0.250 0.807 0.488
Na 0.750 0.488 0.807
As 0.250 0.598 0.057
As 0.750 0.057 0.598
Pt 0.000 0.318 0.318
Pt 0.500 0.318 0.318


A relaxed structure of KNaSm2As2, computed with PBE.

Values from the calculation:
The value obtained for the total energy is -4.076 eV per atom.

Cell: 4.372 4.372 13.417 Å, 90.00 90.00 120.00°
Fractional coordinates of all 6 atoms:
K 0.000 0.000 0.000
Na 0.667 0.333 0.506
Sm 0.333 0.667 0.261
Sm 0.333 0.667 0.722
As 0.000 0.000 0.629
As 0.667 0.333 0.169